No. 1
Entry from Alexandria via LeMat-Bulk: an optimized crystal structure of UVC2 (PBE).

As for the formation energy: -0.3891 eV/atom.

The structure belongs to space group Pnma (No. 62); the cell edges are 5.559, 3.193 and 10.779 Å and the angles 90.00°, 90.00° and 90.00°. The asymmetric unit holds U at (0.079, 0.250, 0.141), V at (0.079, 0.750, 0.399), C at (0.167, 0.250, 0.754) and C at (0.235, 0.250, 0.491).

---

No. 2
Entry from Alexandria via LeMat-Bulk: an optimized crystal structure of KLi2Tc (PBE).

As for the formation energy: 1.0664 eV/atom. The calculation puts the distance to the lowest polymorph of the same formula at 415 meV per atom.

The structure belongs to space group I-4m2 (No. 119); the cell edges are 4.360, 4.360 and 9.782 Å and the angles 90.00°, 90.00° and 90.00°. The asymmetric unit holds K at (0.000, 0.000, 0.000), Li at (0.000, 0.000, 0.500), Li at (0.000, 0.500, 0.750) and Tc at (0.000, 0.500, 0.250).

---

No. 3
Entry from Alexandria via LeMat-Bulk: an optimized crystal structure of Li3BeIn (PBE).

As for the formation energy: 0.3150 eV/atom. The calculation puts the distance to the lowest polymorph of the same formula at 0 meV per atom.

The structure belongs to space group Pm-3m (No. 221); the cell edges are 4.529, 4.529 and 4.529 Å and the angles 90.00°, 90.00° and 90.00°. The asymmetric unit holds Li at (0.000, 0.000, 0.500), Be at (0.000, 0.000, 0.000) and In at (0.500, 0.500, 0.500).

---

No. 4
Entry from Alexandria via LeMat-Bulk: an optimized crystal structure of Ta2OsAu (PBE).

As for the formation energy: -0.1240 eV/atom. The calculation puts the distance to the lowest polymorph of the same formula at 19 meV per atom.

The structure belongs to space group Pmmm (No. 47); the cell edges are 3.010, 3.919 and 5.732 Å and the angles 90.00°, 90.00° and 90.00°. The asymmetric unit holds Ta at (0.000, 0.000, 0.235), Os at (0.500, 0.500, 0.000) and Au at (0.500, 0.500, 0.500).

---

No. 5
Entry from Alexandria via LeMat-Bulk: an optimized crystal structure of Na2MnCu (PBE).

As for the formation energy: 0.6863 eV/atom. The calculation puts the distance to the lowest polymorph of the same formula at 0 meV per atom.

The structure belongs to space group I-42d (No. 122); the cell edges are 8.329, 8.329 and 5.286 Å and the angles 90.00°, 90.00° and 90.00°. The asymmetric unit holds Na at (0.203, 0.250, 0.125), Mn at (0.000, 0.000, 0.500) and Cu at (0.000, 0.000, 0.000).

---

No. 6
Entry from Alexandria via LeMat-Bulk: an optimized crystal structure of SbPb2O5 (PBE).

The raw formation energy is -1190 meV per atom.

The structure belongs to space group C2/m (No. 12); the cell edges are 11.775, 4.012 and 5.790 Å and the angles 90.00°, 119.26° and 90.00°. The asymmetric unit holds Sb at (0.000, 0.000, 0.000), Pb at (0.164, 0.500, 0.665), O at (0.000, 0.500, 0.000), O at (0.144, 0.000, 0.380) and O at (0.144, 0.000, 0.907).